Entry 1:
Here is a relaxed structure of Mg2PtW from Alexandria. Energies are from GGA-PBE.

Its polymorph energy (0 for the lowest one) is 153 meV/atom. Its energy of formation from the pure elements is 0.04 eV per formula unit. As for the volume: 135.9 Å³ per cell.

The space group is Cm (No. 8) and the conventional cell measures 9.501, 2.808 and 5.149 Å, with angles of 90.00, 98.45 and 90.00 degrees. The asymmetric unit holds Mg at (0.000, 0.000, 0.000), Mg at (0.237, 0.000, 0.770), Pt at (0.000, 0.500, 0.475) and W at (0.257, 0.500, 0.287).

Entry 2:
Here is a relaxed structure of MgPtW from Alexandria. Energies are from GGA-PBE.

Its polymorph energy (0 for the lowest one) is 0 meV/atom. Its energy of formation from the pure elements is -0.84 eV per formula unit. As for the volume: 196.5 Å³ per cell.

The space group is Cm (No. 8) and the conventional cell measures 14.602, 2.943 and 4.572 Å, with angles of 90.00, 90.49 and 90.00 degrees. The asymmetric unit holds Mg at (0.000, 0.000, 0.000), Mg at (0.149, 0.000, 0.490), Pt at (0.165, 0.500, 0.981), Pt at (0.483, 0.000, 0.493), W at (0.316, 0.000, 0.124) and W at (0.332, 0.500, 0.625).

Entry 3:
Here is a relaxed structure of Mg4PtW from Alexandria. Energies are from GGA-PBE.

Its energy of formation from the pure elements is 3.28 eV per formula unit. As for the volume: 434.8 Å³ per cell.

The space group is F-43m (No. 216) and the conventional cell measures 7.576, 7.576 and 7.576 Å, with angles of 90.00, 90.00 and 90.00 degrees. The asymmetric unit holds Mg at (0.125, 0.125, 0.125), Pt at (0.250, 0.250, 0.750) and W at (0.000, 0.000, 0.500).

Entry 4:
Here is a relaxed structure of Mg2PtW from Alexandria. Energies are from GGA-PBE.

Its polymorph energy (0 for the lowest one) is 242 meV/atom. Its energy of formation from the pure elements is 0.40 eV per formula unit. As for the volume: 66.7 Å³ per cell.

The space group is P4/mmm (No. 123) and the conventional cell measures 4.006, 4.006 and 4.158 Å, with angles of 90.00, 90.00 and 90.00 degrees. The asymmetric unit holds Mg at (0.000, 0.500, 0.000), Pt at (0.000, 0.000, 0.500) and W at (0.500, 0.500, 0.500).

Entry 5:
Here is a relaxed structure of Mg2PtW from Alexandria. Energies are from GGA-PBE.

Its polymorph energy (0 for the lowest one) is 186 meV/atom. Its energy of formation from the pure elements is 0.17 eV per formula unit. As for the volume: 134.8 Å³ per cell.

The space group is Cmmm (No. 65) and the conventional cell measures 5.597, 8.800 and 2.736 Å, with angles of 90.00, 90.00 and 90.00 degrees. The asymmetric unit holds Mg at (0.250, 0.250, 0.000), Pt at (0.000, 0.000, 0.500) and W at (0.000, 0.500, 0.500).

Entry 6:
Here is a relaxed structure of MgPtW from Alexandria. Energies are from GGA-PBE.

Its polymorph energy (0 for the lowest one) is 297 meV/atom. Its energy of formation from the pure elements is 0.05 eV per formula unit. As for the volume: 49.7 Å³ per cell.

The space group is P3m1 (No. 156) and the conventional cell measures 2.8586, 2.8586 and 7.0201 Å, with angles of 90.00, 90.00 and 120.00 degrees. The asymmetric unit holds Mg at (0.0000, 0.0000, 0.0000), Pt at (0.3333, 0.6667, 0.3274) and W at (0.6667, 0.3333, 0.6420).

Entry 7:
Here is a relaxed structure of Mg2PtW from Alexandria. Energies are from GGA-PBE.

Its polymorph energy (0 for the lowest one) is 230 meV/atom. Its energy of formation from the pure elements is 0.34 eV per formula unit. As for the volume: 67.2 Å³ per cell.

The space group is Pmmm (No. 47) and the conventional cell measures 2.876, 4.747 and 4.919 Å, with angles of 90.00, 90.00 and 90.00 degrees. The asymmetric unit holds Mg at (0.000, 0.000, 0.000), Mg at (0.500, 0.000, 0.500), Pt at (0.000, 0.500, 0.500) and W at (0.500, 0.500, 0.000).

Entry 8:
Here is a relaxed structure of Mg2PtW from Alexandria. Energies are from GGA-PBE.

Its polymorph energy (0 for the lowest one) is 317 meV/atom. Its energy of formation from the pure elements is 0.70 eV per formula unit. As for the volume: 135.0 Å³ per cell.

The space group is I4/mmm (No. 139) and the conventional cell measures 3.950, 3.950 and 8.650 Å, with angles of 90.00, 90.00 and 90.00 degrees. The asymmetric unit holds Mg at (0.000, 0.500, 0.250), Pt at (0.000, 0.000, 0.000) and W at (0.000, 0.000, 0.500).

Number 1: size of the total moment 0.00 μB per formula unit. Number 2: size of the total moment 0.00 μB per formula unit. Number 3: size of the total moment 2.93 μB per formula unit. Number 4: size of the total moment 0.72 μB per formula unit. Number 5: size of the total moment 0.00 μB per formula unit. Number 6: size of the total moment 0.00 μB per formula unit. Number 7: size of the total moment 0.00 μB per formula unit. Number 8: size of the total moment 1.04 μB per formula unit.